# PmAl2GaOs2

A geometry-optimized PmAl2GaOs2 structure (PBE, the Alexandria database).

```
PmAl2GaOs2
1.0
4.587 0.000 0.000
0.000 4.587 0.000
0.000 0.000 5.635
Pm Al Ga Os
1 2 1 2
direct
0.000 0.000 0.500
0.500 0.500 0.749
0.500 0.500 0.251
0.000 0.000 0.000
0.500 0.000 0.000
0.000 0.500 0.000
```

- space group = P4/mmm (123)
- energy (eV/atom) = -6.30
- energy of formation (kcal/mol of atoms) = -0.3
- DOS at the Fermi energy (states/eV/f.u.) = 2.5